VBrOF2 after structural relaxation. Source: Alexandria, functional PBE+U.

Structure (POSCAR):
```
VBrOF2
1.0
4.146 0.000 0.000
0.000 4.146 0.000
0.000 0.000 3.747
V Br O F
1 1 1 2
direct
0.000 0.000 0.000
0.500 0.500 0.500
0.000 0.000 0.500
0.000 0.500 0.000
0.500 0.000 0.000
```

Properties
- ΔE to the lowest computed polymorph: 0.00 eV/f.u.
- Theoretical density: 4.766 g/cm³
- DOS at the Fermi energy: 10.70 states/eV per cell
- Space group: P4/mmm, No. 123
- Magnetic moment: 0.024 μB/f.u.